# CaCSe PBE-GGA optimized geometry
# - energy (eV per atom) = -5.4078
# - ΔE_f (raw) (meV/atom) = -504
data_CaCSe
_space_group_name_H-M_alt 'P 1 21/c 1'
_space_group_IT_number 14
_cell_length_a 7.0496
_cell_length_b 4.2826
_cell_length_c 8.4348
_cell_angle_alpha 90.00
_cell_angle_beta 101.29
_cell_angle_gamma 90.00
loop_
_space_group_symop_operation_xyz
'x,y,z'
'-x,-y,-z'
'-x,y+1/2,-z+1/2'
'x,-y+1/2,z+1/2'
loop_
_atom_site_label
_atom_site_type_symbol
_atom_site_fract_x
_atom_site_fract_y
_atom_site_fract_z
_atom_site_occupancy
Ca1 Ca 0.2421 0.2376 0.3244 1
C1 C 0.0513 0.5023 0.0762 1
Se1 Se 0.3066 0.7398 0.5822 1